Below is a relaxed structure of Sm2DyEr5, with properties calculated at the PBE level.

Lattice parameters (Å, degrees): 7.0813 14.1632 4.9999 90.00 90.00 90.00
Fractional coordinates of all 16 atoms:
1 Sm 0.2505 0.1252 0.0000
2 Sm 0.2495 0.6252 0.0000
3 Sm 0.7505 0.3748 0.0000
4 Sm 0.7495 0.8748 0.0000
5 Dy 0.0000 0.0000 0.5000
6 Dy 0.5000 0.5000 0.5000
7 Er 0.0004 0.2501 0.5000
8 Er 0.0000 0.5000 0.5000
9 Er 0.9996 0.7499 0.5000
10 Er 0.2504 0.3749 0.0000
11 Er 0.2496 0.8749 0.0000
12 Er 0.5000 0.0000 0.5000
13 Er 0.5004 0.2499 0.5000
14 Er 0.4996 0.7501 0.5000
15 Er 0.7504 0.1251 0.0000
16 Er 0.7496 0.6251 0.0000

Output
For the density of states at the Fermi level, the calculation gives 10.21 states/eV/f.u. As for the energy above the most stable polymorph in this dataset: 0.00 eV per formula unit. Its calculated volume is 31.34 A^3/atom. The electronic total energy is -4.59 eV per atom.

Below is a relaxed structure of SmDy7Er4, with properties calculated at the PBE level.

Lattice parameters (Å, degrees): 6.6651 6.6651 12.5946 115.01 115.01 51.96
Fractional coordinates of all 12 atoms:
1 Sm 0.0000 0.0000 0.0000
2 Dy 0.0600 0.0600 0.3259
3 Dy 0.2110 0.2110 0.9226
4 Dy 0.3662 0.3662 0.4975
5 Dy 0.5000 0.5000 0.0000
6 Dy 0.6338 0.6338 0.5025
7 Dy 0.7890 0.7890 0.0774
8 Dy 0.9400 0.9400 0.6741
9 Er 0.2485 0.2485 0.6834
10 Er 0.3660 0.3660 0.2255
11 Er 0.6340 0.6340 0.7745
12 Er 0.7515 0.7515 0.3166

Output
For the density of states at the Fermi level, the calculation gives 20.02 states/eV/f.u. As for the energy above the most stable polymorph in this dataset: 3.42 eV per formula unit. Its calculated volume is 32.41 A^3/atom. The electronic total energy is -4.32 eV per atom.

Below is a relaxed structure of SmDy3Er6, with properties calculated at the PBE level.

Lattice parameters (Å, degrees): 6.8317 6.8317 6.8317 91.09 91.09 91.09
Fractional coordinates of all 10 atoms:
1 Sm 0.0000 0.0000 0.0000
2 Dy 0.2582 0.2582 0.2582
3 Dy 0.5018 0.5018 0.5018
4 Dy 0.7553 0.7553 0.7553
5 Er 0.1592 0.8224 0.4843
6 Er 0.3245 0.6579 0.9848
7 Er 0.4843 0.1592 0.8224
8 Er 0.6579 0.9848 0.3245
9 Er 0.8224 0.4843 0.1592
10 Er 0.9848 0.3245 0.6579

Output
For the density of states at the Fermi level, the calculation gives 19.63 states/eV/f.u. As for the energy above the most stable polymorph in this dataset: 1.42 eV per formula unit. Its calculated volume is 31.87 A^3/atom. The electronic total energy is -4.30 eV per atom.